# 1
A geometry-optimized Y2MgPt structure, computed with PBE.

total moment: 0.00 μB/f.u.
E: -5.766 eV/atom
density: 7.073 g cm⁻³
crystal system: tetragonal

Lattice parameters (Å, degrees): 4.9825 4.9825 3.7565 90.00 90.00 90.00
Fractional coordinates of all 4 atoms:
Y: 0.0000 0.5000 0.0000
Y: 0.5000 0.0000 0.0000
Mg: 0.0000 0.0000 0.5000
Pt: 0.5000 0.5000 0.5000


# 2
A geometry-optimized SmPa6N12 structure, computed with PBE.

total moment: 0.00 μB/f.u.
E: -9.950 eV/atom
density: 9.956 g cm⁻³
E_form (uncorrected): -1444.7 meV/atom
crystal system: trigonal

Lattice parameters (Å, degrees): 6.6929 6.6929 6.6929 99.99 99.99 99.99
Fractional coordinates of all 19 atoms:
Sm: 0.0000 0.0000 0.0000
Pa: 0.1370 0.5985 0.2951
Pa: 0.2951 0.1370 0.5985
Pa: 0.4015 0.7049 0.8630
Pa: 0.5985 0.2951 0.1370
Pa: 0.7049 0.8630 0.4015
Pa: 0.8630 0.4015 0.7049
N: 0.0632 0.9174 0.3340
N: 0.0826 0.6660 0.9368
N: 0.1776 0.4362 0.5859
N: 0.3340 0.0632 0.9174
N: 0.4141 0.8224 0.5638
N: 0.4362 0.5859 0.1776
N: 0.5638 0.4141 0.8224
N: 0.5859 0.1776 0.4362
N: 0.6660 0.9368 0.0826
N: 0.8224 0.5638 0.4141
N: 0.9174 0.3340 0.0632
N: 0.9368 0.0826 0.6660


# 3
A geometry-optimized AlFeSe2 structure, computed with PBE.

total moment: 0.35 μB/f.u.
E: -4.839 eV/atom
density: 5.457 g cm⁻³
E_form (uncorrected): -45.6 meV/atom
crystal system: tetragonal

Lattice parameters (Å, degrees): 2.9211 2.9211 8.5855 90.00 90.00 90.00
Fractional coordinates of all 4 atoms:
Al: 0.0000 0.0000 0.0000
Fe: 0.5000 0.5000 0.1948
Se: 0.0000 0.0000 0.3460
Se: 0.5000 0.5000 0.7833


# 4
A geometry-optimized CdTc2Cl structure, computed with PBE.

relative energy among the computed polymorphs: 0.000 eV/atom
total moment: 0.00 μB/f.u.
E: -5.886 eV/atom
density: 7.740 g cm⁻³
E_form (uncorrected): -12.5 meV/atom
crystal system: monoclinic

Lattice parameters (Å, degrees): 3.0308 2.9949 8.1274 90.00 90.22 90.00
Fractional coordinates of all 4 atoms:
Cd: 0.0000 0.0000 0.0000
Tc: 0.0050 0.0000 0.4272
Tc: 0.5030 0.5000 0.2495
Cl: 0.0073 0.5000 0.6715


# 5
A geometry-optimized LiRuRh2 structure, computed with PBE.

relative energy among the computed polymorphs: 0.094 eV/atom
total moment: 1.19 μB/f.u.
E: -6.392 eV/atom
density: 9.465 g cm⁻³
crystal system: tetragonal

Lattice parameters (Å, degrees): 4.4533 4.4533 2.7762 90.00 90.00 90.00
Fractional coordinates of all 4 atoms:
Li: 0.0000 0.0000 0.0000
Ru: 0.5000 0.5000 0.0000
Rh: 0.0000 0.5000 0.5000
Rh: 0.5000 0.0000 0.5000